No. 1
First-principles (PBE-GGA) data for a relaxed Zr2ScRh crystal, as listed in Alexandria via LeMat-Bulk.

Structure (extended XYZ):
```
4
Lattice="-1.698 2.440 4.932 1.698 -2.440 4.932 1.698 2.440 -4.932" Properties=species:S:1:pos:R:3 pbc="T T T"
Zr 0.000 0.000 2.170
Zr 0.000 0.000 7.693
Sc 0.000 2.440 0.000
Rh 1.698 0.000 0.000
```

Summary:
Space-group type ... Immm (71)
Total magnetic moment ... 0.000 Bohr magnetons per cell
ΔH_f (0 K) ... -0.44 eV per atom

---

No. 2
First-principles (PBE-GGA) data for a relaxed CrFe5Ir6 crystal, as listed in Alexandria via LeMat-Bulk.

Structure (extended XYZ):
```
12
Lattice="-1.900 3.649 5.701 1.900 -3.649 5.701 1.900 3.649 -5.701" Properties=species:S:1:pos:R:3 pbc="T T T"
Cr 0.000 0.000 0.000
Fe 1.900 0.000 1.876
Fe 0.000 0.000 3.825
Fe 0.000 3.649 0.000
Fe 0.000 0.000 7.576
Fe 0.000 3.649 3.825
Ir 1.900 -1.843 3.801
Ir 1.900 1.799 0.000
Ir 0.000 1.807 1.899
Ir 1.900 1.843 3.801
Ir 0.000 1.850 5.701
Ir 0.000 5.492 1.899
```

Summary:
Space-group type ... Immm (71)
Total magnetic moment ... 10.518 Bohr magnetons per cell
ΔH_f (0 K) ... -0.09 eV per atom

---

No. 3
First-principles (PBE-GGA) data for a relaxed K2Tc2Au crystal, as listed in Alexandria via LeMat-Bulk.

Structure (extended XYZ):
```
10
Lattice="10.167 0.000 0.000 0.000 10.167 0.000 0.000 0.000 2.740" Properties=species:S:1:pos:R:3 pbc="T T T"
K 2.140 2.944 0.000
K 2.944 8.027 0.000
K 7.224 2.140 0.000
K 8.027 7.224 0.000
Tc 0.750 5.834 1.370
Tc 4.333 0.750 1.370
Tc 5.834 9.417 1.370
Tc 9.417 4.333 1.370
Au 0.000 0.000 0.000
Au 5.084 5.084 0.000
```

Summary:
Space-group type ... P4/mbm (127)
Total magnetic moment ... 0.000 Bohr magnetons per cell
ΔH_f (0 K) ... 1.02 eV per atom

---

No. 4
First-principles (PBE-GGA) data for a relaxed KCd2GePt2 crystal, as listed in Alexandria via LeMat-Bulk.

Structure (extended XYZ):
```
6
Lattice="4.820 0.000 0.000 0.000 4.820 0.000 0.000 0.000 6.290" Properties=species:S:1:pos:R:3 pbc="T T T"
K 0.000 0.000 0.000
Cd 2.410 2.410 1.496
Cd 2.410 2.410 4.794
Ge 0.000 0.000 3.145
Pt 0.000 2.410 3.145
Pt 2.410 0.000 3.145
```

Summary:
Space-group type ... P4/mmm (123)
Total magnetic moment ... 0.000 Bohr magnetons per cell
ΔH_f (0 K) ... -0.24 eV per atom

---

No. 5
First-principles (PBE-GGA) data for a relaxed CoTeW2 crystal, as listed in Alexandria via LeMat-Bulk.

Structure (extended XYZ):
```
4
Lattice="4.643 -1.547 0.000 4.643 1.547 0.000 -1.597 0.000 4.435" Properties=species:S:1:pos:R:3 pbc="T T T"
Co 0.000 0.000 0.000
Te 6.251 0.000 1.412
W 1.126 0.000 3.837
W 3.668 0.000 2.395
```

Summary:
Space-group type ... Cm (8)
Total magnetic moment ... 0.001 Bohr magnetons per cell
Formation energy without anion corrections ... 0.570 eV/atom

---

No. 6
First-principles (PBE-GGA) data for a relaxed Re2HgW crystal, as listed in Alexandria via LeMat-Bulk.

Structure (extended XYZ):
```
4
Lattice="0.000 3.208 3.208 3.208 0.000 3.208 3.208 3.208 0.000" Properties=species:S:1:pos:R:3 pbc="T T T"
Re 0.000 0.000 0.000
Re 1.604 1.604 1.604
Hg 4.812 4.812 4.812
W 3.208 3.208 3.208
```

Summary:
Space-group type ... F-43m (216)
Total magnetic moment ... 0.000 Bohr magnetons per cell
ΔH_f (0 K) ... 0.87 eV per atom

---

No. 7
First-principles (PBE-GGA) data for a relaxed CaTaSb2 crystal, as listed in Alexandria via LeMat-Bulk.

Structure (extended XYZ):
```
4
Lattice="0.000 3.611 3.611 3.611 0.000 3.611 3.611 3.611 0.000" Properties=species:S:1:pos:R:3 pbc="T T T"
Ca 0.000 0.000 0.000
Ta 3.611 3.611 3.611
Sb 1.806 1.806 1.806
Sb 5.417 5.417 5.417
```

Summary:
Space-group type ... Fm-3m (225)
Total magnetic moment ... 1.523 Bohr magnetons per cell
Formation energy without anion corrections ... -0.063 eV/atom

---

No. 8
First-principles (PBE-GGA) data for a relaxed PmPr6Y2 crystal, as listed in Alexandria via LeMat-Bulk.

Structure (extended XYZ):
```
9
Lattice="5.186 -3.633 0.000 5.186 3.633 0.000 -2.948 0.000 8.436" Properties=species:S:1:pos:R:3 pbc="T T T"
Pm 0.000 0.000 0.000
Pr 3.652 1.667 2.490
Pr 3.773 1.667 5.947
Pr 0.828 0.000 7.604
Pr 6.596 0.000 0.832
Pr 3.652 -1.667 2.490
Pr 3.773 -1.667 5.947
Y 0.914 0.000 3.928
Y 6.510 0.000 4.508
```

Summary:
Space-group type ... C2/m (12)
Total magnetic moment ... 0.000 Bohr magnetons per cell
ΔH_f (0 K) ... 0.12 eV per atom

---

No. 9
First-principles (PBE-GGA) data for a relaxed Ta4HgSe8 crystal, as listed in Alexandria via LeMat-Bulk.

Structure (extended XYZ):
```
13
Lattice="3.495 2.018 9.160 -3.495 2.018 9.160 0.000 -4.036 9.160" Properties=species:S:1:pos:R:3 pbc="T T T"
Ta 0.000 0.000 0.000
Ta -1.748 -1.009 9.160
Ta -1.748 1.009 18.320
Ta 0.000 2.018 9.160
Hg 0.000 0.000 13.740
Se 0.000 -2.018 10.820
Se -1.747 1.009 10.820
Se 0.000 0.000 7.496
Se -1.747 -1.009 16.660
Se 1.747 1.009 10.819
Se 0.000 0.000 19.984
Se 1.747 -1.009 16.660
Se 0.000 2.018 16.660
```

Summary:
Space-group type ... R-3m (166)
Total magnetic moment ... 0.000 Bohr magnetons per cell
Formation energy without anion corrections ... -0.724 eV/atom

---

No. 10
First-principles (PBE-GGA) data for a relaxed RbNbCoS3 crystal, as listed in Alexandria via LeMat-Bulk.

Structure (extended XYZ):
```
12
Lattice="8.803 0.000 0.000 0.000 3.547 0.000 -4.154 0.000 8.404" Properties=species:S:1:pos:R:3 pbc="T T T"
Rb 1.035 0.887 2.131
Rb 3.614 2.661 6.273
Nb -0.806 2.661 6.984
Nb 5.455 0.887 1.420
Co -1.765 0.887 5.096
Co 6.414 2.661 3.308
S -2.529 0.887 7.203
S -0.485 2.661 4.578
S 3.609 2.661 1.180
S 1.040 0.887 7.224
S 5.134 0.887 3.826
S 7.178 2.661 1.201
```

Summary:
Space-group type ... P2_1/m (11)
Total magnetic moment ... 1.790 Bohr magnetons per cell
Formation energy without anion corrections ... -0.970 eV/atom

---

No. 11
First-principles (PBE-GGA) data for a relaxed Sm2HfCu crystal, as listed in Alexandria via LeMat-Bulk.

Structure (extended XYZ):
```
4
Lattice="1.623 0.937 11.103 -1.623 0.937 11.103 0.000 -1.874 11.103" Properties=species:S:1:pos:R:3 pbc="T T T"
Sm 0.000 0.000 3.229
Sm 0.000 0.000 30.080
Hf 0.000 0.000 0.000
Cu 0.000 0.000 16.654
```

Summary:
Space-group type ... R-3m (166)
Total magnetic moment ... 0.000 Bohr magnetons per cell
ΔH_f (0 K) ... 0.44 eV per atom

---

No. 12
First-principles (PBE-GGA) data for a relaxed RbZrTe2Cl crystal, as listed in Alexandria via LeMat-Bulk.

Structure (extended XYZ):
```
5
Lattice="5.729 0.000 0.000 0.000 5.729 0.000 0.000 0.000 5.187" Properties=species:S:1:pos:R:3 pbc="T T T"
Rb 0.000 0.000 0.000
Zr 2.864 2.864 2.593
Te 0.000 2.864 2.593
Te 2.864 0.000 2.593
Cl 2.864 2.864 0.000
```

Summary:
Space-group type ... P4/mmm (123)
Total magnetic moment ... 0.000 Bohr magnetons per cell
Formation energy without anion corrections ... -1.110 eV/atom